Record 1
Sr2ZnH6Rh: optimized geometry, PBE-GGA.

The space group is C2/m (No. 12) and the conventional cell measures 7.696, 7.723 and 5.475 Å, with angles of 90.00, 134.47 and 90.00 degrees. The distinct sites, in fractional coordinates, are Sr at (0.000, 0.250, 0.000), Zn at (0.000, 0.000, 0.500), H at (0.000, 0.271, 0.500), H at (0.227, 0.500, 0.956), H at (0.228, 0.500, 0.498) and Rh at (0.000, 0.500, 0.500).

---

Record 2
Sr2ZnHRh: optimized geometry, PBE-GGA.

The space group is P4/mmm (No. 123) and the conventional cell measures 5.437, 5.437 and 3.643 Å, with angles of 90.00, 90.00 and 90.00 degrees. The distinct sites, in fractional coordinates, are Sr at (0.000, 0.500, 0.000), Zn at (0.000, 0.000, 0.500), H at (0.500, 0.500, 0.000) and Rh at (0.500, 0.500, 0.500).

---

Record 3
SrZn2H8Rh: optimized geometry, PBE-GGA.

The space group is P-3m1 (No. 164) and the conventional cell measures 4.3905, 4.3905 and 6.7658 Å, with angles of 90.00, 90.00 and 120.00 degrees. The distinct sites, in fractional coordinates, are Sr at (0.0000, 0.0000, 0.0000), Zn at (0.3333, 0.6667, 0.3331), H at (0.1701, 0.3402, 0.6604), H at (0.3333, 0.6667, 0.0804) and Rh at (0.0000, 0.0000, 0.5000).

---

Record 4
TaH3Rh: optimized geometry, PBE-GGA.

The space group is Pm-3m (No. 221) and the conventional cell measures 3.451, 3.451 and 3.451 Å, with angles of 90.00, 90.00 and 90.00 degrees. The distinct sites, in fractional coordinates, are Ta at (0.000, 0.000, 0.000), H at (0.000, 0.500, 0.500) and Rh at (0.500, 0.500, 0.500).

---

Record 5
TaHRh3: optimized geometry, PBE-GGA.

The value obtained for the energy above the most stable polymorph in this dataset is 0.06 eV per formula unit.

The space group is P6_3/mmc (No. 194) and the conventional cell measures 5.6192, 5.6192 and 4.4949 Å, with angles of 90.00, 90.00 and 120.00 degrees. The distinct sites, in fractional coordinates, are Ta at (0.3333, 0.6667, 0.2500), H at (0.0000, 0.0000, 0.0000) and Rh at (0.1692, 0.3384, 0.7500).

---

Record 6
TaHRh3: optimized geometry, PBE-GGA.

The value obtained for the energy above the most stable polymorph in this dataset is 0.13 eV per formula unit.

The space group is Immm (No. 71) and the conventional cell measures 5.540, 5.546 and 8.026 Å, with angles of 90.00, 90.00 and 90.00 degrees. The distinct sites, in fractional coordinates, are Ta at (0.000, 0.000, 0.233), H at (0.000, 0.000, 0.500), H at (0.000, 0.500, 0.000), Rh at (0.000, 0.500, 0.252) and Rh at (0.249, 0.253, 0.500).

---

Looking at electronic total energy for the records above, in order, we have -3.636, -3.359, -3.329, -5.760, -7.927, -7.913 eV per atom.